Density functional theory data (PBE-GGA) for a geometry-optimized Pm2SmSn structure.

## Properties
Calculated volume, Å³/cell: 238.33
Energy of formation from the pure elements, eV/atom: -0.409
Crystal system: tetragonal

Cell lengths 4.821, 4.821, 10.253 Å; angles 90.00, 90.00, 90.00 degrees
Space group I4/mmm (No. 139)
Symmetry-distinct sites (fractional):
Pm 0.000 0.500 0.250 (multiplicity 4)
Sm 0.000 0.000 0.000 (multiplicity 2)
Sn 0.000 0.000 0.500 (multiplicity 2)